Record 1
TaCo2Mo | GGA-PBE | relaxed

a = 4.7834 Å, b = 4.7834 Å, c = 4.7834 Å
α = 134.49°, β = 134.49°, γ = 66.33°
Atoms (fractional coordinates):
Ta 0.0000 0.0000 0.0000
Co 0.5000 0.5000 0.0000
Co 0.7500 0.2500 0.5000
Mo 0.2500 0.7500 0.5000

Computed properties:
Calculated total energy ... -9.150 eV per atom
Symmetry ... No. 119

---

Record 2
Ta2CoMo | GGA-PBE | relaxed

a = 4.4661 Å, b = 4.4661 Å, c = 4.4661 Å
α = 60.00°, β = 60.00°, γ = 60.00°
Atoms (fractional coordinates):
Ta 0.2500 0.2500 0.2500
Ta 0.7500 0.7500 0.7500
Co 0.0000 0.0000 0.0000
Mo 0.5000 0.5000 0.5000

Computed properties:
Calculated total energy ... -10.556 eV per atom
Symmetry ... No. 225

---

Record 3
Ta2CoMo | GGA-PBE | relaxed

a = 3.1919 Å, b = 3.1919 Å, c = 6.1508 Å
α = 90.00°, β = 90.00°, γ = 90.00°
Atoms (fractional coordinates):
Ta 0.0000 0.0000 0.2438
Ta 0.0000 0.0000 0.7562
Co 0.5000 0.5000 0.0000
Mo 0.5000 0.5000 0.5000

Computed properties:
Calculated total energy ... -10.568 eV per atom
Symmetry ... No. 123

---

| no. | relative energy among the computed polymorphs (meV per atom) | energy relative to the elements (eV per atom) |
| --- | --- | --- |
| 1 | 126.8 | 0.0736 |
| 2 | 11.7 | -0.1453 |
| 3 | 0.0 | -0.1570 |